1.
Material: Be2BiAsO8
Method: DFT, PBE-GGA
State: relaxed

abc: 4.646 4.646 6.844
angles: 90.00 90.00 120.00
Fractional positions:
Be 0.333 0.667 0.228
Be 0.667 0.333 0.772
Bi 0.000 0.000 0.500
As 0.000 0.000 0.000
O 0.022 0.317 0.168
O 0.295 0.978 0.168
O 0.317 0.295 0.832
O 0.333 0.667 0.468
O 0.667 0.333 0.532
O 0.683 0.705 0.168
O 0.705 0.022 0.832
O 0.978 0.683 0.832

Properties
Symmetry ... P-3, No. 147
Uncorrected formation energy ... -1.023 eV/atom
Total magnetization ... 4.00 μB per formula unit

2.
Material: Fe3TeS
Method: DFT, PBE-GGA
State: relaxed

abc: 4.856 4.856 4.856
angles: 90.00 90.00 90.00
Fractional positions:
Fe 0.000 0.000 0.500
Fe 0.000 0.500 0.000
Fe 0.500 0.000 0.000
Te 0.000 0.000 0.000
S 0.500 0.500 0.500

Properties
Symmetry ... Pm-3m, No. 221
Uncorrected formation energy ... 1.248 eV/atom
ΔE to the lowest computed polymorph ... 0.947 eV per atom
Total magnetization ... 10.00 μB per formula unit

3.
Material: Y5Er2
Method: DFT, PBE-GGA
State: relaxed

abc: 7.925 7.925 8.696
angles: 111.29 111.29 25.93
Fractional positions:
Y 0.000 0.000 0.000
Y 0.286 0.286 0.856
Y 0.430 0.430 0.288
Y 0.570 0.570 0.712
Y 0.714 0.714 0.144
Er 0.144 0.144 0.429
Er 0.856 0.856 0.571

Properties
Symmetry ... C2/m, No. 12
ΔE to the lowest computed polymorph ... 0.026 eV per atom
Energy of formation ... 17 kJ/mol of formula units
Total magnetization ... 0.00 μB per formula unit

Number 1: E -5.66 eV per atom, density 5.58 Mg/m³. Number 2: E -5.28 eV per atom, density 4.74 Mg/m³. Number 3: E -5.90 eV per atom, density 5.84 Mg/m³.